# TiFeBiPbO6, relaxed, DFT PBE with a Hubbard U
data_TiFeBiPbO6
_cell_length_a 5.405
_cell_length_b 5.431
_cell_length_c 9.497
_cell_angle_alpha 90.00
_cell_angle_beta 90.00
_cell_angle_gamma 90.00
_space_group_name_H-M_alt 'I m m 2'
_space_group_IT_number 44
_space_group_name_Hall 'I 2 -2'
loop_
_atom_site_label
_atom_site_fract_x
_atom_site_fract_y
_atom_site_fract_z
Ti1 0.000 0.000 0.000
Fe1 0.000 0.000 0.515
Bi1 0.000 0.500 0.307
Pb1 0.000 0.500 0.774
O1 0.000 0.000 0.185
O2 0.000 0.000 0.709
O3 0.246 0.255 0.445
# Energy in eV/atom: -6.906